Model A:
Zn5Cd | SCAN | single point on PBEsol structure

a b c (Å): 5.0865 5.0865 5.0865
angles (deg): 60.00 60.00 60.00
Fractional coordinates of all 6 atoms:
Zn 0.3752 0.3752 0.3752
Zn 0.7500 0.7500 0.7500
Zn 0.8743 0.3752 0.3752
Zn 0.3752 0.8743 0.3752
Zn 0.3752 0.3752 0.8743
Cd 0.0000 0.0000 0.0000

Output
As for the crystal system: cubic. The value obtained for the total magnetic moment is 0.00 μB per cell. For the volume, the calculation gives 93 Å³/cell. As for the symmetry: F-43m (216). As for the density: 7842 kg/m³.

=====

Model B:
Zn5Cd | SCAN | single point on PBEsol structure

a b c (Å): 2.7891 4.4043 7.5621
angles (deg): 90.00 100.63 90.00
Fractional coordinates of all 6 atoms:
Zn 0.2212 0.5000 0.4424
Zn 0.3285 0.0000 0.6570
Zn 0.5662 0.5000 0.1324
Zn 0.6739 0.0000 0.3479
Zn 0.8787 0.5000 0.7574
Cd 0.9981 0.0000 0.9963

Output
As for the crystal system: orthorhombic. The value obtained for the total magnetic moment is 0.00 μB per cell. For the volume, the calculation gives 91 Å³/cell. As for the symmetry: Amm2 (38). As for the density: 7993 kg/m³.

=====

Model C:
Zn5Cd | SCAN | single point on PBEsol structure

a b c (Å): 4.2995 5.0843 5.0843
angles (deg): 120.00 90.00 90.00
Fractional coordinates of all 6 atoms:
Zn 0.5000 0.0000 0.5000
Zn 0.0000 0.6667 0.3333
Zn 0.5000 0.5000 0.5000
Zn 0.5000 0.5000 0.0000
Zn 0.0000 0.3333 0.6667
Cd 0.0000 0.0000 0.0000

Output
As for the crystal system: hexagonal. The value obtained for the total magnetic moment is 0.00 μB per cell. For the volume, the calculation gives 96 Å³/cell. As for the symmetry: P6/mmm (191). As for the density: 7581 kg/m³.

=====

model B wins, 1.4 kJ/mol of atoms ahead of the next structure.

=====

Model A:
Zr5Cd | SCAN | single point on PBEsol structure

a b c (Å): 4.3571 4.4143 7.0648
angles (deg): 71.79 90.00 90.00
Fractional coordinates of all 6 atoms:
Zr 0.5000 0.3348 0.3304
Zr 0.0000 0.1662 0.6675
Zr 0.5000 0.0000 0.0000
Zr 0.0000 0.8338 0.3325
Zr 0.5000 0.6652 0.6696
Cd 0.0000 0.5000 0.0000

Output
As for the crystal system: orthorhombic. The value obtained for the total magnetic moment is 0.00 μB per cell. For the volume, the calculation gives 129 Å³/cell. As for the symmetry: Cmmm (65). As for the density: 7314 kg/m³.

=====

Model B:
Zr5Cd | SCAN | single point on PBEsol structure

a b c (Å): 3.1081 5.9836 7.5178
angles (deg): 104.58 90.00 105.05
Fractional coordinates of all 6 atoms:
Zr 0.3940 0.7879 0.2794
Zr 0.6737 0.3475 0.3282
Zr 0.0593 0.1186 0.6085
Zr 0.3341 0.6682 0.6743
Zr 0.7125 0.4251 0.9474
Cd 0.9930 0.9860 0.9955

Output
As for the crystal system: monoclinic. The value obtained for the total magnetic moment is 0.00 μB per cell. For the volume, the calculation gives 130 Å³/cell. As for the symmetry: Cm (8). As for the density: 7243 kg/m³.

=====

Model C:
Zr5Cd | SCAN | single point on PBEsol structure

a b c (Å): 5.1436 5.4112 5.4112
angles (deg): 120.00 90.00 90.00
Fractional coordinates of all 6 atoms:
Zr 0.0000 0.3247 0.3247
Zr 0.0000 0.6753 0.0000
Zr 0.0000 0.0000 0.6753
Zr 0.5000 0.3333 0.6667
Zr 0.5000 0.6667 0.3333
Cd 0.5000 0.0000 0.0000

Output
As for the crystal system: hexagonal. The value obtained for the total magnetic moment is 0.00 μB per cell. For the volume, the calculation gives 130 Å³/cell. As for the symmetry: P-62m (189). As for the density: 7238 kg/m³.

=====

Model D:
Zr5Cd | SCAN | single point on PBEsol structure

a b c (Å): 3.1077 5.1618 8.2698
angles (deg): 90.00 100.83 90.00
Fractional coordinates of all 6 atoms:
Zr 0.2207 0.5000 0.4414
Zr 0.3396 0.0000 0.6792
Zr 0.5510 0.5000 0.1019
Zr 0.6690 0.0000 0.3379
Zr 0.8854 0.5000 0.7709
Cd 0.0010 0.0000 0.0020

Output
As for the crystal system: orthorhombic. The value obtained for the total magnetic moment is 0.00 μB per cell. For the volume, the calculation gives 130 Å³/cell. As for the symmetry: Amm2 (38). As for the density: 7246 kg/m³.

=====

model A wins, 2.6 kJ/mol of atoms ahead of the next structure.

=====

Model A:
Zr5Cd4 | SCAN | single point on PBEsol structure

a b c (Å): 5.9148 8.5922 8.5922
angles (deg): 120.00 90.00 90.00
Fractional coordinates of all 18 atoms:
Cd 0.0000 0.0000 0.0000
Cd 0.5000 0.0000 0.0000
Cd 0.7500 0.0000 0.3421
Cd 0.7500 0.3421 0.0000
Cd 0.7500 0.6579 0.6579
Cd 0.2500 0.0000 0.6579
Cd 0.2500 0.6579 0.0000
Cd 0.2500 0.3421 0.3421
Zr 0.7500 0.0000 0.6737
Zr 0.7500 0.6737 0.0000
Zr 0.7500 0.3263 0.3263
Zr 0.2500 0.0000 0.3263
Zr 0.2500 0.3263 0.0000
Zr 0.2500 0.6737 0.6737
Zr 0.0000 0.3333 0.6667
Zr 0.5000 0.6667 0.3333
Zr 0.0000 0.6667 0.3333
Zr 0.5000 0.3333 0.6667

Output
As for the crystal system: hexagonal. The value obtained for the total magnetic moment is 0.00 μB per cell. For the volume, the calculation gives 378 Å³/cell. As for the symmetry: P6_3/mcm (193). As for the density: 7954 kg/m³.

=====

Model B:
Zr5Cd4 | SCAN | single point on PBEsol structure

a b c (Å): 4.2533 6.9630 6.9630
angles (deg): 84.65 72.22 72.22
Fractional coordinates of all 9 atoms:
Cd 0.6613 0.3387 0.3387
Cd 0.3387 0.6613 0.6613
Cd 0.0000 0.3387 0.6613
Cd 0.0000 0.6613 0.3387
Zr 0.0000 0.0000 0.0000
Zr 0.6668 0.6664 0.0000
Zr 0.3332 0.0000 0.3336
Zr 0.6668 0.0000 0.6664
Zr 0.3332 0.3336 0.0000

Output
As for the crystal system: tetragonal. The value obtained for the total magnetic moment is 0.01 μB per cell. For the volume, the calculation gives 187 Å³/cell. As for the symmetry: I4/mmm (139). As for the density: 8044 kg/m³.

=====

model A wins, 2.9 kJ/mol of atoms ahead of the next structure.

=====

Model A:
Ce3Er | SCAN | single point on PBEsol structure

a b c (Å): 4.6934 4.6934 4.6934
angles (deg): 90.00 90.00 90.00
Fractional coordinates of all 4 atoms:
Ce 0.0000 0.5000 0.5000
Ce 0.5000 0.0000 0.5000
Ce 0.5000 0.5000 0.0000
Er 0.0000 0.0000 0.0000

Output
As for the crystal system: cubic. The value obtained for the total magnetic moment is 0.02 μB per cell. For the volume, the calculation gives 103 Å³/cell. As for the symmetry: Pm-3m (221). As for the density: 9438 kg/m³.

=====

Model B:
Ce3Er | SCAN | single point on PBEsol structure

a b c (Å): 4.6648 4.6648 5.7529
angles (deg): 113.92 113.92 90.00
Fractional coordinates of all 4 atoms:
Ce 0.7500 0.2500 0.5000
Ce 0.2500 0.7500 0.5000
Ce 0.5000 0.5000 0.0000
Er 0.0000 0.0000 0.0000

Output
As for the crystal system: tetragonal. The value obtained for the total magnetic moment is 0.00 μB per cell. For the volume, the calculation gives 103 Å³/cell. As for the symmetry: I4/mmm (139). As for the density: 9513 kg/m³.

=====

model B wins, 1.0 kJ/mol of atoms ahead of the next structure.

=====

Model A:
Ce2NiGe3 | SCAN | single point on PBEsol structure

a b c (Å): 4.0822 8.2023 8.2023
angles (deg): 120.00 90.00 90.00
Fractional coordinates of all 12 atoms:
Ce 0.5000 0.0000 0.0000
Ce 0.5000 0.0000 0.5000
Ce 0.5000 0.5000 0.0000
Ce 0.5000 0.5000 0.5000
Ni 0.0000 0.3333 0.6667
Ni 0.0000 0.6667 0.3333
Ge 0.0000 0.1723 0.3446
Ge 0.0000 0.1723 0.8277
Ge 0.0000 0.6554 0.8277
Ge 0.0000 0.8277 0.6554
Ge 0.0000 0.3446 0.1723
Ge 0.0000 0.8277 0.1723

Output
As for the crystal system: hexagonal. The value obtained for the total magnetic moment is 3.40 μB per cell. For the volume, the calculation gives 238 Å³/cell. As for the symmetry: P6/mmm (191). As for the density: 7775 kg/m³.

=====

Model B:
Ce2NiGe3 | SCAN | single point on PBEsol structure

a b c (Å): 4.1795 4.1795 7.7769
angles (deg): 90.00 90.00 120.00
Fractional coordinates of all 6 atoms:
Ce 0.3333 0.6667 0.7637
Ce 0.3333 0.6667 0.2363
Ni 0.0000 0.0000 0.0000
Ge 0.0000 0.0000 0.5000
Ge 0.6667 0.3333 0.0000
Ge 0.6667 0.3333 0.5000

Output
As for the crystal system: hexagonal. The value obtained for the total magnetic moment is 0.00 μB per cell. For the volume, the calculation gives 118 Å³/cell. As for the symmetry: P-6m2 (187). As for the density: 7859 kg/m³.

=====

model A wins, 7.1 kJ/mol of atoms ahead of the next structure.

=====

Model A:
CeSi2Ir3 | SCAN | single point on PBEsol structure

a b c (Å): 5.5584 6.6219 6.6219
angles (deg): 65.75 65.18 65.18
Fractional coordinates of all 12 atoms:
Ce 0.0331 0.2500 0.2500
Ce 0.9669 0.7500 0.7500
Si 0.3837 0.4196 0.4196
Si 0.2771 0.9196 0.9196
Si 0.6163 0.5804 0.5804
Si 0.7229 0.0804 0.0804
Ir 0.5000 0.2171 0.7829
Ir 0.5000 0.0000 0.5000
Ir 0.0000 0.2829 0.7171
Ir 0.5000 0.7829 0.2171
Ir 0.0000 0.7171 0.2829
Ir 0.5000 0.5000 0.0000

Output
As for the crystal system: orthorhombic. The value obtained for the total magnetic moment is 1.22 μB per cell. For the volume, the calculation gives 192 Å³/cell. As for the symmetry: Imma (74). As for the density: 13336 kg/m³.

=====

Model B:
CeSi2Ir3 | SCAN | single point on PBEsol structure

a b c (Å): 3.6983 5.5093 5.5093
angles (deg): 120.00 90.00 90.00
Fractional coordinates of all 6 atoms:
Si 0.0000 0.6667 0.3333
Si 0.0000 0.3333 0.6667
Ir 0.5000 0.0000 0.5000
Ir 0.5000 0.5000 0.0000
Ir 0.5000 0.5000 0.5000
Ce 0.0000 0.0000 0.0000

Output
As for the crystal system: hexagonal. The value obtained for the total magnetic moment is 0.61 μB per cell. For the volume, the calculation gives 97 Å³/cell. As for the symmetry: P6/mmm (191). As for the density: 13203 kg/m³.

=====

model A wins, 2.4 kJ/mol of atoms ahead of the next structure.

=====

Model A:
K2CeP2O8 | SCAN | single point on PBEsol structure

a b c (Å): 6.8386 6.8386 10.1051
angles (deg): 109.78 109.78 90.00
Fractional coordinates of all 26 atoms:
K 0.6250 0.8750 0.7500
K 0.1250 0.3750 0.2500
K 0.1250 0.8750 0.7500
K 0.1250 0.8750 0.2500
Ce 0.7500 0.2500 0.5000
Ce 0.5000 0.5000 0.0000
P 0.3252 0.3252 0.6504
P 0.9248 0.4248 0.8496
P 0.6748 0.6748 0.3496
P 0.5752 0.0752 0.1504
O 0.5219 0.8429 0.0438
O 0.4414 0.6227 0.2455
O 0.5219 0.2009 0.0438
O 0.8041 0.6227 0.2455
O 0.7281 0.9071 0.4562
O 0.1571 0.4781 0.9562
O 0.8086 0.1273 0.2545
O 0.7281 0.5491 0.4562
O 0.8727 0.5541 0.7455
O 0.0929 0.2719 0.5438
O 0.7991 0.4781 0.9562
O 0.4509 0.2719 0.5438
O 0.4459 0.1273 0.2545
O 0.3773 0.5586 0.7545
O 0.8727 0.1914 0.7455
O 0.3773 0.1959 0.7545

Output
As for the crystal system: tetragonal. The value obtained for the total magnetic moment is 0.00 μB per cell. For the volume, the calculation gives 415 Å³/cell. As for the symmetry: I4_1/amd (141). As for the density: 3267 kg/m³.

=====

Model B:
K2CeP2O8 | SCAN | single point on PBEsol structure

a b c (Å): 7.6088 9.1348 10.8840
angles (deg): 90.00 90.00 110.70
Fractional coordinates of all 52 atoms:
K 0.8963 0.0433 0.3717
K 0.3963 0.5433 0.1283
K 0.1037 0.9567 0.6283
K 0.6037 0.4567 0.8717
K 0.1248 0.4582 0.3843
K 0.6248 0.9582 0.1157
K 0.8752 0.5418 0.6157
K 0.3752 0.0418 0.8843
Ce 0.4756 0.2191 0.3606
Ce 0.9756 0.7191 0.1394
Ce 0.5244 0.7809 0.6394
Ce 0.0244 0.2809 0.8606
P 0.7106 0.6449 0.3604
P 0.2106 0.1449 0.1396
P 0.2894 0.3551 0.6396
P 0.7894 0.8551 0.8604
P 0.6729 0.1357 0.6306
P 0.1729 0.6357 0.8694
P 0.3271 0.8643 0.3694
P 0.8271 0.3643 0.1306
O 0.7093 0.7452 0.2449
O 0.2093 0.2452 0.2551
O 0.2907 0.2548 0.7551
O 0.7907 0.7548 0.7449
O 0.5439 0.4868 0.3556
O 0.0439 0.9868 0.1444
O 0.4561 0.5132 0.6444
O 0.9561 0.0132 0.8556
O 0.7044 0.7345 0.4796
O 0.2044 0.2345 0.0204
O 0.2956 0.2655 0.5204
O 0.7956 0.7655 0.9796
O 0.9009 0.6200 0.3512
O 0.4009 0.1200 0.1488
O 0.0991 0.3800 0.6488
O 0.5991 0.8800 0.8512
O 0.4677 0.0198 0.6452
O 0.9677 0.5198 0.8548
O 0.5323 0.9802 0.3548
O 0.0323 0.4802 0.1452
O 0.7404 0.2305 0.7502
O 0.2404 0.7305 0.7498
O 0.2596 0.7695 0.2498
O 0.7596 0.2695 0.2502
O 0.6865 0.2491 0.5216
O 0.1865 0.7491 0.9784
O 0.3135 0.7509 0.4784
O 0.8135 0.2509 0.0216
O 0.7831 0.0251 0.6041
O 0.2831 0.5251 0.8959
O 0.2169 0.9749 0.3959
O 0.7169 0.4749 0.1041

Output
As for the crystal system: monoclinic. The value obtained for the total magnetic moment is 0.00 μB per cell. For the volume, the calculation gives 708 Å³/cell. As for the symmetry: P2_1/c (14). As for the density: 3832 kg/m³.

=====

model B wins, 2.4 kJ/mol of atoms ahead of the next structure.

=====

Model A:
Ce2Nd2O7 | SCAN | single point on PBEsol structure

a b c (Å): 7.7661 7.7661 7.7661
angles (deg): 60.00 60.00 60.00
Fractional coordinates of all 22 atoms:
Ce 0.1250 0.6250 0.6250
Ce 0.6250 0.6250 0.6250
Ce 0.6250 0.6250 0.1250
Ce 0.6250 0.1250 0.6250
Nd 0.1250 0.6250 0.1250
Nd 0.6250 0.1250 0.1250
Nd 0.1250 0.1250 0.6250
Nd 0.1250 0.1250 0.1250
O 0.5265 0.9735 0.9735
O 0.7235 0.7235 0.2765
O 0.2765 0.7235 0.7235
O 0.5265 0.9735 0.5265
O 0.9735 0.5265 0.9735
O 0.9735 0.9735 0.5265
O 0.2500 0.2500 0.2500
O 0.2765 0.7235 0.2765
O 0.2765 0.2765 0.7235
O 0.0000 0.0000 0.0000
O 0.7235 0.2765 0.7235
O 0.9735 0.5265 0.5265
O 0.5265 0.5265 0.9735
O 0.7235 0.2765 0.2765

Output
As for the crystal system: cubic. The value obtained for the total magnetic moment is 0.00 μB per cell. For the volume, the calculation gives 331 Å³/cell. As for the symmetry: Fd-3m (227). As for the density: 6826 kg/m³.

=====

Model B:
Ce2Nd2O7 | SCAN | single point on PBEsol structure

a b c (Å): 3.7742 7.8269 11.0653
angles (deg): 90.00 90.00 90.00
Fractional coordinates of all 22 atoms:
Ce 0.5000 0.7500 0.2494
Ce 0.5000 0.2500 0.7506
Ce 0.0000 0.5000 0.0000
Ce 0.0000 0.0000 0.0000
Nd 0.0000 0.5000 0.5000
Nd 0.5000 0.2500 0.2274
Nd 0.0000 0.0000 0.5000
Nd 0.5000 0.7500 0.7726
O 0.0000 0.7500 0.3814
O 0.5000 0.5367 0.6288
O 0.0000 0.2500 0.8671
O 0.5000 0.4847 0.8810
O 0.5000 0.5153 0.1190
O 0.5000 0.9847 0.1190
O 0.0000 0.7500 0.1329
O 0.0000 0.2500 0.1164
O 0.5000 0.4633 0.3712
O 0.5000 0.0367 0.3712
O 0.5000 0.9633 0.6288
O 0.0000 0.2500 0.6186
O 0.0000 0.7500 0.8836
O 0.5000 0.0153 0.8810

Output
As for the crystal system: orthorhombic. The value obtained for the total magnetic moment is 0.00 μB per cell. For the volume, the calculation gives 327 Å³/cell. As for the symmetry: Pmma (51). As for the density: 6916 kg/m³.

=====

model A wins, 2.5 kJ/mol of atoms ahead of the next structure.